1.
Below is Pm4Pr3Al after structural relaxation, with properties calculated at the PBE-GGA level.

Cell lengths 4.2121, 4.2121, 14.5812 Å; angles 90.00, 90.00, 90.00 degrees
Space group P4/mmm (No. 123)
Unique sites:
Pm1 0.0000 0.0000 0.1062 x2
Pm2 0.0000 0.0000 0.3671 x2
Pr1 0.5000 0.5000 0.2432 x2
Pr2 0.5000 0.5000 0.5000 x1
Al1 0.5000 0.5000 0.0000 x1

## Properties
* DFT formation energy: 0.0206 eV/atom
* calculated volume: 258.7 Å³/cell



2.
Below is RbNaC2 after structural relaxation, with properties calculated at the PBE-GGA level.

Cell lengths 6.7249, 6.7249, 6.7249 Å; angles 90.00, 90.00, 90.00 degrees
Space group Fm-3m (No. 225)
Unique sites:
Rb1 0.0000 0.0000 0.0000 x4
Na1 0.0000 0.0000 0.5000 x4
C1 0.2500 0.2500 0.2500 x8

## Properties
* DFT formation energy: 2.5830 eV/atom
* calculated volume: 304.1 Å³/cell



3.
Below is Ac3Pd2Rh2 after structural relaxation, with properties calculated at the PBE-GGA level.

Cell lengths 4.2113, 4.6215, 18.7937 Å; angles 90.00, 90.00, 90.00 degrees
Space group Immm (No. 71)
Unique sites:
Ac1 0.0000 0.0000 0.0000 x2
Ac2 0.0000 0.5000 0.1800 x4
Pd1 0.0000 0.5000 0.3524 x4
Rh1 0.0000 0.0000 0.4317 x4

## Properties
* DFT formation energy: -0.7062 eV/atom
* calculated volume: 365.8 Å³/cell